# CaVN2F, relaxed, DFT PBE with a Hubbard U
data_CaVN2F
_chemical_formula_sum 'Ca1 V1 N2 F1'
_cell_length_a 4.5250
_cell_length_b 4.5250
_cell_length_c 4.1196
_cell_angle_alpha 90.00
_cell_angle_beta 90.00
_cell_angle_gamma 90.00
_space_group_name_H-M_alt 'P 4/m m m'
_space_group_IT_number 123
_space_group_name_Hall '-P 4 2'
loop_
_atom_site_label
_atom_site_type_symbol
_atom_site_fract_x
_atom_site_fract_y
_atom_site_fract_z
Ca1 Ca 0.0000 0.0000 0.0000
V1 V 0.5000 0.5000 0.5000
N1 N 0.0000 0.5000 0.0000
F1 F 0.0000 0.0000 0.5000
# N(E_F) = 3.49 states/eV/cell
# total magnetization = 0.0 Bohr magnetons per cell
# energy relative to the lowest polymorph listed for this composition = 1576 meV/atom
# uncorrected energy = -5.0646 eV per atom